Record 1
Computed, not measured: a relaxed structure of Sr2Zn3Ga4Ge at the PBE level of DFT.

abc: 4.4096 4.4096 10.9000
angles: 90.00 90.00 90.00
Atoms (fractional coordinates):
Sr  0.0000  0.5000  0.2493
Sr  0.5000  0.0000  0.7507
Zn  0.0000  0.0000  0.0000
Zn  0.0000  0.5000  0.6325
Zn  0.5000  0.0000  0.3675
Ga  0.0000  0.0000  0.5000
Ga  0.0000  0.5000  0.8645
Ga  0.5000  0.0000  0.1355
Ga  0.5000  0.5000  0.5000
Ge  0.5000  0.5000  0.0000

Summary:
VASP energy   -2.752 eV/atom
Calculated volume   211.9 Å³ per cell
Energy relative to the elements   -8.33 kcal/mol of atoms


Record 2
Computed, not measured: a relaxed structure of Sr2Zn3GaGe4 at the PBE level of DFT.

abc: 4.4677 4.4677 10.6482
angles: 90.00 90.00 90.00
Atoms (fractional coordinates):
Sr  0.0000  0.5000  0.2484
Sr  0.5000  0.0000  0.7516
Zn  0.0000  0.5000  0.8689
Zn  0.5000  0.0000  0.1311
Zn  0.5000  0.5000  0.5000
Ga  0.0000  0.0000  0.5000
Ge  0.0000  0.0000  0.0000
Ge  0.0000  0.5000  0.6330
Ge  0.5000  0.0000  0.3670
Ge  0.5000  0.5000  0.0000

Summary:
VASP energy   -3.228 eV/atom
Calculated volume   212.5 Å³ per cell
Energy relative to the elements   -8.30 kcal/mol of atoms


Record 3
Computed, not measured: a relaxed structure of Sr2ZrGaGe at the PBE level of DFT.

abc: 6.0389 6.0389 5.1654
angles: 90.00 90.00 90.00
Atoms (fractional coordinates):
Sr  0.0000  0.5000  0.0000
Sr  0.5000  0.0000  0.0000
Zr  0.0000  0.0000  0.0000
Ga  0.0000  0.0000  0.5000
Ge  0.5000  0.5000  0.5000

Summary:
VASP energy   -3.097 eV/atom
Calculated volume   188.4 Å³ per cell
Energy relative to the elements   18.78 kcal/mol of atoms